A plane-wave DFT calculation with PBE was carried out for a geometry-optimized Cu4SnS4 structure.

The polymorph energy (0 for the lowest one) comes out at 164 meV/atom.

POSCAR file:
```
Cu4SnS4
1.0
-2.748 2.748 5.600
2.748 -2.748 5.600
2.748 2.748 -5.600
Cu Sn S
4 1 4
direct
0.000 0.500 0.500
0.243 0.243 0.000
0.500 0.000 0.500
0.757 0.757 0.000
0.000 0.000 0.000
0.132 0.132 0.528
0.396 0.868 0.000
0.604 0.604 0.472
0.868 0.396 0.000
```

***

A plane-wave DFT calculation with PBE was carried out for a geometry-optimized Cu4SnS4 structure.

The polymorph energy (0 for the lowest one) comes out at 0 meV/atom.

POSCAR file:
```
Cu4SnS4
1.0
10.071 0.000 0.000
0.000 13.504 0.000
-1.908 0.000 9.988
Cu Sn S
32 8 32
direct
0.071 0.161 0.069
0.071 0.339 0.569
0.167 0.142 0.420
0.167 0.358 0.920
0.183 0.655 0.182
0.183 0.845 0.682
0.218 0.589 0.481
0.218 0.911 0.981
0.299 0.158 0.815
0.299 0.342 0.315
0.335 0.687 0.718
0.335 0.813 0.218
0.384 0.056 0.537
0.384 0.444 0.037
0.422 0.684 0.985
0.422 0.816 0.485
0.578 0.184 0.515
0.578 0.316 0.015
0.616 0.556 0.963
0.616 0.944 0.463
0.665 0.187 0.782
0.665 0.313 0.282
0.701 0.658 0.685
0.701 0.842 0.185
0.782 0.089 0.019
0.782 0.411 0.519
0.817 0.155 0.318
0.817 0.345 0.818
0.833 0.642 0.080
0.833 0.858 0.580
0.929 0.661 0.431
0.929 0.839 0.931
0.057 0.586 0.813
0.057 0.914 0.313
0.434 0.084 0.177
0.434 0.416 0.677
0.566 0.584 0.323
0.566 0.916 0.823
0.943 0.086 0.687
0.943 0.414 0.187
0.004 0.089 0.251
0.004 0.411 0.751
0.111 0.680 0.618
0.111 0.820 0.118
0.135 0.178 0.627
0.135 0.322 0.127
0.238 0.078 0.991
0.238 0.422 0.491
0.253 0.581 0.006
0.253 0.919 0.506
0.362 0.673 0.370
0.362 0.827 0.870
0.376 0.179 0.372
0.376 0.321 0.872
0.488 0.085 0.749
0.488 0.415 0.249
0.512 0.585 0.751
0.512 0.915 0.251
0.624 0.679 0.128
0.624 0.821 0.628
0.638 0.173 0.130
0.638 0.327 0.630
0.747 0.081 0.494
0.747 0.419 0.994
0.762 0.578 0.509
0.762 0.922 0.009
0.865 0.678 0.873
0.865 0.822 0.373
0.889 0.180 0.882
0.889 0.320 0.382
0.996 0.589 0.249
0.996 0.911 0.749
```

***

A plane-wave DFT calculation with PBE was carried out for a geometry-optimized Cu2SnS3 structure.

The calculation puts the uncorrected energy at -0.31628 Ry/atom.

POSCAR file:
```
Cu2SnS3
1.0
3.346 -5.794 0.000
3.346 5.794 0.000
-2.253 0.000 6.320
Cu Sn S
4 2 6
direct
0.083 0.917 0.500
0.232 0.741 0.998
0.741 0.232 0.498
0.917 0.083 0.000
0.388 0.571 0.484
0.571 0.388 0.984
0.010 0.176 0.366
0.176 0.010 0.866
0.362 0.882 0.364
0.536 0.721 0.885
0.721 0.536 0.385
0.882 0.362 0.864
```

***

A plane-wave DFT calculation with PBE was carried out for a geometry-optimized Cu4SnS4 structure.

The polymorph energy (0 for the lowest one) comes out at 7 meV/atom.

POSCAR file:
```
Cu4SnS4
1.0
13.559 0.000 0.000
0.000 7.657 0.000
0.000 0.000 6.462
Cu Sn S
16 4 16
direct
0.073 0.250 0.099
0.165 0.250 0.434
0.166 0.512 0.883
0.166 0.988 0.883
0.334 0.012 0.383
0.334 0.488 0.383
0.335 0.750 0.934
0.427 0.750 0.599
0.573 0.250 0.401
0.665 0.250 0.066
0.666 0.512 0.617
0.666 0.988 0.617
0.834 0.012 0.117
0.834 0.488 0.117
0.835 0.750 0.566
0.927 0.750 0.901
0.082 0.750 0.387
0.418 0.250 0.887
0.582 0.750 0.113
0.918 0.250 0.613
0.081 0.750 0.771
0.091 0.250 0.748
0.176 0.002 0.242
0.176 0.498 0.242
0.324 0.502 0.742
0.324 0.998 0.742
0.409 0.750 0.248
0.419 0.250 0.271
0.581 0.750 0.729
0.591 0.250 0.752
0.676 0.002 0.258
0.676 0.498 0.258
0.824 0.502 0.758
0.824 0.998 0.758
0.909 0.750 0.252
0.919 0.250 0.229
```

***

A plane-wave DFT calculation with PBE was carried out for a geometry-optimized TbCuSnS3 structure.

The calculation puts the uncorrected energy at -0.37524 Ry/atom.

POSCAR file:
```
TbCuSnS3
1.0
8.813 -1.949 0.000
8.813 1.949 0.000
-1.883 0.000 7.644
Tb Cu Sn S
2 2 2 6
direct
0.162 0.162 0.082
0.838 0.838 0.918
0.463 0.463 0.794
0.537 0.537 0.206
0.123 0.123 0.565
0.877 0.877 0.435
0.000 0.000 0.000
0.324 0.324 0.153
0.330 0.330 0.675
0.500 0.500 0.500
0.670 0.670 0.325
0.676 0.676 0.847
```

***

A plane-wave DFT calculation with PBE was carried out for a geometry-optimized Tb3CuSnS7 structure.

The calculation puts the uncorrected energy at -0.41413 Ry/atom.

POSCAR file:
```
Tb3CuSnS7
1.0
9.789 0.000 0.000
-4.894 8.477 0.000
0.000 0.000 6.208
Tb Cu Sn S
6 2 2 14
direct
0.149 0.790 0.000
0.210 0.359 0.000
0.359 0.149 0.500
0.641 0.851 0.000
0.790 0.641 0.500
0.851 0.210 0.500
0.000 0.000 0.400
0.000 0.000 0.900
0.333 0.667 0.567
0.667 0.333 0.067
0.082 0.518 0.748
0.114 0.851 0.427
0.149 0.262 0.427
0.262 0.114 0.927
0.333 0.667 0.181
0.436 0.918 0.748
0.482 0.564 0.748
0.518 0.436 0.248
0.564 0.082 0.248
0.667 0.333 0.681
0.738 0.886 0.427
0.851 0.738 0.927
0.886 0.149 0.927
0.918 0.482 0.248
```